(1)
# Tl4SeO3, relaxed, DFT PBE
data_Tl4SeO3
_chemical_formula_sum 'Tl8 Se2 O6'
_symmetry_space_group_name_H-M 'P m n 21'
_symmetry_Int_Tables_number 31
_symmetry_space_group_name_Hall 'P 2ac -2'
_cell_length_a 7.494
_cell_length_b 8.554
_cell_length_c 6.367
_cell_angle_alpha 90.00
_cell_angle_beta 90.00
_cell_angle_gamma 90.00
loop_
_atom_site_label
_atom_site_type_symbol
_atom_site_fract_x
_atom_site_fract_y
_atom_site_fract_z
Tl1 Tl 0.000 0.107 0.000
Tl2 Tl 0.000 0.852 0.446
Tl3 Tl 0.216 0.642 0.927
Se1 Se 0.000 0.150 0.582
O1 O 0.000 0.859 0.099
O2 O 0.250 0.234 0.084
# * mass density: 7.685 g/cm³
# * formation energy without anion corrections: -3.68 eV per formula unit



(2)
# KLi2Ir, relaxed, DFT PBE
data_KLi2Ir
_chemical_formula_sum 'K2 Li4 Ir2'
_symmetry_space_group_name_H-M 'C m m m'
_symmetry_Int_Tables_number 65
_symmetry_space_group_name_Hall '-C 2 2'
_cell_length_a 3.262
_cell_length_b 4.694
_cell_length_c 10.811
_cell_angle_alpha 90.00
_cell_angle_beta 90.00
_cell_angle_gamma 90.00
loop_
_atom_site_label
_atom_site_type_symbol
_atom_site_fract_x
_atom_site_fract_y
_atom_site_fract_z
K1 K 0.000 0.000 0.000
Li1 Li 0.000 0.500 0.322
Ir1 Ir 0.000 0.000 0.500
# * mass density: 4.919 g/cm³
# * E above lowest polymorph: 0.825 eV per formula unit
# * formation energy: 426 meV/atom



(3)
# Li3PuTh2Te6, relaxed, DFT PBE
data_Li3PuTh2Te6
_chemical_formula_sum 'Li6 Pu2 Th4 Te12'
_symmetry_space_group_name_H-M 'C 1 2/m 1'
_symmetry_Int_Tables_number 12
_symmetry_space_group_name_Hall '-C 2y'
_cell_length_a 7.585
_cell_length_b 13.138
_cell_length_c 7.604
_cell_angle_alpha 90.00
_cell_angle_beta 109.41
_cell_angle_gamma 90.00
loop_
_atom_site_label
_atom_site_type_symbol
_atom_site_fract_x
_atom_site_fract_y
_atom_site_fract_z
Li1 Li 0.000 0.000 0.000
Li2 Li 0.000 0.333 0.000
Pu1 Pu 0.000 0.500 0.500
Th1 Th 0.000 0.167 0.500
Te1 Te 0.244 0.167 0.234
Te2 Te 0.246 0.500 0.234
# * mass density: 6.944 g/cm³
# * formation energy without anion corrections: -12.97 eV per formula unit